(1)
## VZnSn2O (GGA+U)

Data for a geometry-optimized VZnSn2O structure.

## Properties
ρ ... 4.58 g/cm3
Raw total energy ... -3.40 eV per atom
Calculated volume ... 26.78 Å³/atom
Magnetic moment ... 4.58 μB per cell
Excess energy over the best structure of this formula in the dataset ... 4.566 eV/f.u.
Space group ... P4/mmm

abc: 5.222 4.910 5.222
angles: 90.00 90.00 90.00
Site moments in Bohr magnetons follow the coordinates.
Fractional positions:
V: 0.000 0.000 0.000  2.78
O: 0.500 0.500 0.500  0.92
Sn: 0.000 0.000 0.500  0.10
Sn: 0.500 0.000 0.000  0.01
Zn: 0.000 0.500 0.000  0.09

---

(2)
## HoCdMoO6 (GGA+U)

Data for a geometry-optimized HoCdMoO6 structure.

## Properties
ρ ... 6.21 g/cm3
Raw total energy ... -6.49 eV per atom
Calculated volume ... 13.95 Å³/atom
Magnetic moment ... 1.05 μB per cell
Space group ... P312

abc: 4.670 5.572 5.572
angles: 120.00 90.00 90.00
Site moments in Bohr magnetons follow the coordinates.
Fractional positions:
Ho: 0.500 0.667 0.333  -0.01
Mo: 0.500 0.000 0.000  -0.15
O: 0.272 0.998 0.706  0.17
O: 0.728 0.998 0.292  0.17
O: 0.272 0.708 0.002  0.17
O: 0.272 0.294 0.292  0.17
O: 0.728 0.294 0.002  0.17
O: 0.728 0.708 0.706  0.17
Cd: 0.000 0.333 0.667  0.01